[1]
The following is a DFT calculation (PBE) of a relaxed LiDyTlRu crystal.

Calculated values
Spin magnetization (μB/f.u.): 0.00
Uncorrected energy (eV/cell): -18.67
Crystal system: cubic

The structure in POSCAR format:
```
LiDyTlRu
1.0
0.000 3.384 3.384
3.384 0.000 3.384
3.384 3.384 0.000
Li Dy Tl Ru
1 1 1 1
Direct
0.000 0.000 0.000
0.250 0.250 0.250
0.750 0.750 0.750
0.500 0.500 0.500
```


[2]
The following is a DFT calculation (PBE) of a relaxed Ac3NdRu crystal.

Calculated values
Spin magnetization (μB/f.u.): 0.00
Crystal system: monoclinic
ΔE to the lowest computed polymorph (meV per atom): 0.0

The structure in POSCAR format:
```
Ac3NdRu
1.0
6.278 -4.781 0.000
6.278 4.781 0.000
-6.268 0.000 6.294
Ac Nd Ru
6 2 2
Direct
0.044 0.044 0.336
0.046 0.457 0.216
0.457 0.046 0.216
0.543 0.954 0.784
0.954 0.543 0.784
0.956 0.956 0.664
0.461 0.461 0.762
0.539 0.539 0.238
0.251 0.251 0.837
0.749 0.749 0.163
```


[3]
The following is a DFT calculation (PBE) of a relaxed AlCo3Te crystal.

Calculated values
Spin magnetization (μB/f.u.): 4.00
Crystal system: cubic
Formation energy (no corrections) (eV per atom): 1.07
ΔE to the lowest computed polymorph (meV per atom): 249.9

The structure in POSCAR format:
```
AlCo3Te
1.0
4.631 0.000 0.000
0.000 4.631 0.000
0.000 0.000 4.631
Al Co Te
1 3 1
Direct
0.000 0.000 0.000
0.000 0.500 0.500
0.500 0.000 0.500
0.500 0.500 0.000
0.500 0.500 0.500
```


[4]
The following is a DFT calculation (PBE) of a relaxed YAlCo2 crystal.

Calculated values
Spin magnetization (μB/f.u.): 3.30
Uncorrected energy (eV/cell): -23.98
Crystal system: cubic

The structure in POSCAR format:
```
YAlCo2
1.0
0.000 3.195 3.195
3.195 0.000 3.195
3.195 3.195 0.000
Y Al Co
1 1 2
Direct
0.000 0.000 0.000
0.750 0.750 0.750
0.250 0.250 0.250
0.500 0.500 0.500
```


[5]
The following is a DFT calculation (PBE) of a relaxed Pm3Ag2Ge crystal.

Calculated values
Spin magnetization (μB/f.u.): 1.14
Uncorrected energy (eV/cell): -27.11
Crystal system: trigonal

The structure in POSCAR format:
```
Pm3Ag2Ge
1.0
5.204 0.000 0.000
-2.602 4.507 0.000
0.000 0.000 6.489
Pm Ag Ge
3 2 1
Direct
0.000 0.000 0.000
0.333 0.667 0.658
0.667 0.333 0.342
0.333 0.667 0.144
0.667 0.333 0.856
0.000 0.000 0.500
```


[6]
The following is a DFT calculation (PBE) of a relaxed CrHg2Ir crystal.

Calculated values
Spin magnetization (μB/f.u.): 4.01
Crystal system: cubic
ΔE to the lowest computed polymorph (meV per atom): 244.1

The structure in POSCAR format:
```
CrHg2Ir
1.0
0.000 3.296 3.296
3.296 0.000 3.296
3.296 3.296 0.000
Cr Hg Ir
1 2 1
Direct
0.000 0.000 0.000
0.250 0.250 0.250
0.750 0.750 0.750
0.500 0.500 0.500
```


[7]
The following is a DFT calculation (PBE) of a relaxed CrSi3Ru crystal.

Calculated values
Spin magnetization (μB/f.u.): 2.09
Crystal system: cubic
Formation energy (no corrections) (eV per atom): 0.81

The structure in POSCAR format:
```
CrSi3Ru
1.0
4.347 0.000 0.000
0.000 4.347 0.000
0.000 0.000 4.347
Cr Si Ru
1 3 1
Direct
0.000 0.000 0.000
0.000 0.000 0.500
0.000 0.500 0.000
0.500 0.000 0.000
0.500 0.500 0.500
```


[8]
The following is a DFT calculation (PBE) of a relaxed KY2ZrGe crystal.

Calculated values
Spin magnetization (μB/f.u.): 0.00
Uncorrected energy (eV/cell): -20.53
Crystal system: tetragonal

The structure in POSCAR format:
```
KY2ZrGe
1.0
5.116 0.000 0.000
0.000 5.116 0.000
0.000 0.000 5.369
K Y Zr Ge
1 2 1 1
Direct
0.000 0.000 0.000
0.000 0.500 0.000
0.500 0.000 0.000
0.500 0.500 0.500
0.000 0.000 0.500
```